This record from Alexandria via LeMat-Bulk describes an optimized crystal structure of PmErTmTl. The functional is PBE.

The formation energy is -41 meV per atom. Its total energy is -4.08 eV per atom. Its total magnetization is 1.12 Bohr magnetons per cell. The energy above the most stable polymorph in this dataset is 0.54 eV per formula unit. The crystal system is cubic. The space group is F-43m. The mass density comes out at 9.8 g/cm3.

Cell: 5.477 5.477 5.477 Å, 60.00 60.00 60.00°
Atoms (fractional coordinates):
Tl 0.250 0.250 0.250
Tm 0.750 0.750 0.750
Pm 0.500 0.500 0.500
Er 0.000 0.000 0.000

This record from Alexandria via LeMat-Bulk describes an optimized crystal structure of RbMgPb11. The functional is PBE.

The formation energy is -30 meV per atom. Its total energy is -3.36 eV per atom. Its total magnetization is 0.00 Bohr magnetons per cell. The crystal system is monoclinic. The space group is C2/m. The mass density comes out at 9.2 g/cm3.

Cell: 6.494 8.774 8.649 Å, 82.89 67.95 70.75°
Atoms (fractional coordinates):
Rb 0.000 0.000 0.000
Mg 0.500 0.500 0.000
Pb 0.291 0.226 0.216
Pb 0.709 0.774 0.784
Pb 0.493 0.774 0.216
Pb 0.507 0.226 0.784
Pb 0.355 0.642 0.647
Pb 0.645 0.358 0.353
Pb 0.998 0.358 0.647
Pb 0.002 0.642 0.353
Pb 0.000 0.500 0.000
Pb 0.500 0.000 0.500
Pb 0.000 0.000 0.500

This record from Alexandria via LeMat-Bulk describes an optimized crystal structure of YInGe. The functional is PBE.

The formation energy is -405 meV per atom. Its total energy is -5.01 eV per atom. Its total magnetization is 0.00 Bohr magnetons per cell. The crystal system is triclinic. The space group is P-1. The mass density comes out at 6.1 g/cm3.

Cell: 5.468 8.258 10.197 Å, 83.94 79.39 91.49°
Atoms (fractional coordinates):
Ge 0.500 0.500 0.000
Ge 0.628 0.911 0.656
Ge 0.372 0.089 0.344
Ge 0.282 0.414 0.635
Ge 0.718 0.586 0.365
Ge 0.000 0.000 0.000
Y 0.916 0.660 0.081
Y 0.794 0.568 0.660
Y 0.884 0.936 0.342
Y 0.116 0.064 0.658
Y 0.206 0.432 0.340
Y 0.084 0.340 0.919
In 0.683 0.244 0.513
In 0.574 0.135 0.866
In 0.741 0.289 0.195
In 0.259 0.711 0.805
In 0.317 0.756 0.487
In 0.426 0.865 0.134

This record from Alexandria via LeMat-Bulk describes an optimized crystal structure of MgNiTe2S. The functional is PBE.

Its total energy is -3.02 eV per atom. Its total magnetization is 0.00 Bohr magnetons per cell. The formation energy from raw total energies is 0.539 eV/atom. The crystal system is tetragonal. The space group is P4/mmm. The mass density comes out at 4.6 g/cm3.

Cell: 5.417 4.514 5.417 Å, 90.00 90.00 90.00°
Atoms (fractional coordinates):
Ni 0.500 0.500 0.500
S 0.000 0.000 0.000
Te 0.000 0.000 0.500
Te 0.500 0.000 0.000
Mg 0.000 0.500 0.000